[1]
The following is a DFT calculation (PBE) of crystalline RbGa2NiB at its relaxed geometry.

The electronic total energy is -2.9254 eV/atom. The value obtained for the energy relative to the elements is 0.97 eV per atom.

The structure belongs to space group P4/mmm (No. 123); the cell edges are 4.5762, 4.5762 and 6.0579 Å and the angles 90.00°, 90.00° and 90.00°. Symmetry generates all atoms from Rb at (0.0000, 0.0000, 0.0000), Ga at (0.0000, 0.5000, 0.5000), Ni at (0.0000, 0.0000, 0.5000) and B at (0.5000, 0.5000, 0.0000).


[2]
The following is a DFT calculation (PBE) of crystalline GaNiBRh2 at its relaxed geometry.

The electronic total energy is -6.3921 eV/atom. The value obtained for the energy relative to the elements is -0.35 eV per atom.

The structure belongs to space group P4/mmm (No. 123); the cell edges are 4.0838, 4.0838 and 3.8211 Å and the angles 90.00°, 90.00° and 90.00°. Symmetry generates all atoms from Ga at (0.0000, 0.0000, 0.0000), Ni at (0.5000, 0.5000, 0.0000), B at (0.5000, 0.5000, 0.5000) and Rh at (0.0000, 0.5000, 0.5000).